ZnSnP3: optimized geometry, PBE.

The space group is Pm-3m (No. 221) and the conventional cell measures 4.6949, 4.6949 and 4.6949 Å, with angles of 90.00, 90.00 and 90.00 degrees. The inequivalent atoms are Zn at (0.0000, 0.0000, 0.0000), Sn at (0.5000, 0.5000, 0.5000) and P at (0.0000, 0.0000, 0.5000).

The energy of formation comes out at 18.1 kcal/mol of atoms. The energy above the most stable polymorph in this dataset is 0.0 meV/atom.

ZnSnP2: optimized geometry, PBE.

The space group is R-3m (No. 166, hexagonal axes) and the conventional cell measures 4.0281, 4.0281 and 21.5322 Å, with angles of 90.00, 90.00 and 120.00 degrees. The inequivalent atoms are Zn at (0.0000, 0.0000, 0.0000), Sn at (0.0000, 0.0000, 0.5000) and P at (0.0000, 0.0000, 0.1039).

The energy of formation comes out at 4.4 kcal/mol of atoms. The energy above the most stable polymorph in this dataset is 380.5 meV/atom.

ZnSnP2: optimized geometry, PBE.

The space group is Fm-3m (No. 225) and the conventional cell measures 6.6480, 6.6480 and 6.6480 Å, with angles of 90.00, 90.00 and 90.00 degrees. The inequivalent atoms are Zn at (0.0000, 0.0000, 0.0000), Sn at (0.0000, 0.0000, 0.5000) and P at (0.2500, 0.2500, 0.2500).

The energy of formation comes out at 10.0 kcal/mol of atoms. The energy above the most stable polymorph in this dataset is 622.2 meV/atom.